[1]
Density functional theory data (PBE) for As5P after structural relaxation.

The calculation puts the total magnetization at 0.00 μB/f.u. Its total energy is -4.449 eV/atom. Its formation energy is 327 meV/atom. As for the energy above the most stable polymorph in this dataset: 196.8 meV per atom. As for the volume: 239.1 Å³/cell.

The space group is Amm2 (No. 38) and the conventional cell measures 3.597, 3.447 and 19.283 Å, with angles of 90.00, 90.00 and 90.00 degrees. The asymmetric unit holds As at (0.000, 0.000, 0.000), As at (0.000, 0.000, 0.288), As at (0.000, 0.000, 0.614), As at (0.500, 0.000, 0.172), As at (0.500, 0.000, 0.851) and P at (0.500, 0.000, 0.453).



[2]
Density functional theory data (PBE) for AsP3 after structural relaxation.

The calculation puts the total magnetization at 0.00 μB/f.u. Its total energy is -4.716 eV/atom. Its formation energy is 504 meV/atom. As for the energy above the most stable polymorph in this dataset: 443.6 meV per atom. As for the volume: 273.0 Å³/cell.

The space group is I4/mmm (No. 139) and the conventional cell measures 3.335, 3.335 and 24.547 Å, with angles of 90.00, 90.00 and 90.00 degrees. The asymmetric unit holds As at (0.000, 0.000, 0.145), P at (0.000, 0.000, 0.399), P at (0.000, 0.500, 0.000) and P at (0.000, 0.500, 0.250).



[3]
Density functional theory data (PBE) for AsP after structural relaxation.

The calculation puts the total magnetization at 0.00 μB/f.u. Its total energy is -4.383 eV/atom. Its formation energy is 647 meV/atom. As for the energy above the most stable polymorph in this dataset: 594.0 meV per atom. As for the volume: 67.1 Å³/cell.

The space group is Cmmm (No. 65) and the conventional cell measures 3.290, 4.358 and 4.678 Å, with angles of 90.00, 90.00 and 90.00 degrees. The asymmetric unit holds As at (0.000, 0.000, 0.000) and P at (0.000, 0.500, 0.500).



[4]
Density functional theory data (PBE) for AsP3 after structural relaxation.

The calculation puts the total magnetization at 0.00 μB/f.u. Its total energy is -4.832 eV/atom. Its formation energy is 388 meV/atom. As for the energy above the most stable polymorph in this dataset: 327.3 meV per atom. As for the volume: 200.8 Å³/cell.

The space group is Amm2 (No. 38) and the conventional cell measures 5.256, 3.713 and 10.289 Å, with angles of 90.00, 90.00 and 90.00 degrees. The asymmetric unit holds As at (0.000, 0.000, 0.000), P at (0.289, 0.000, 0.576) and P at (0.500, 0.000, 0.755).



[5]
Density functional theory data (PBE) for AsP after structural relaxation.

The calculation puts the total magnetization at 0.00 μB/f.u. Its total energy is -4.709 eV/atom. Its formation energy is 321 meV/atom. As for the energy above the most stable polymorph in this dataset: 268.0 meV per atom. As for the volume: 72.8 Å³/cell.

The space group is P6_3/mmc (No. 194) and the conventional cell measures 3.5842, 3.5842 and 6.5408 Å, with angles of 90.00, 90.00 and 120.00 degrees. The asymmetric unit holds As at (0.0000, 0.0000, 0.0000) and P at (0.3333, 0.6667, 0.2500).



[6]
Density functional theory data (PBE) for AsP3 after structural relaxation.

The calculation puts the total magnetization at 0.00 μB/f.u. Its total energy is -4.539 eV/atom. Its formation energy is 681 meV/atom. As for the energy above the most stable polymorph in this dataset: 620.9 meV per atom. As for the volume: 187.0 Å³/cell.

The space group is R-3m (No. 166, hexagonal axes) and the conventional cell measures 8.6694, 8.6694 and 2.8726 Å, with angles of 90.00, 90.00 and 120.00 degrees. The asymmetric unit holds As at (0.0000, 0.0000, 0.0000) and P at (0.0000, 0.5000, 0.0000).



[7]
Density functional theory data (PBE) for AsP after structural relaxation.

The calculation puts the total magnetization at 0.00 μB/f.u. Its total energy is -4.618 eV/atom. Its formation energy is 412 meV/atom. As for the energy above the most stable polymorph in this dataset: 359.1 meV per atom. As for the volume: 938.1 Å³/cell.

The space group is I-43m (No. 217) and the conventional cell measures 9.789, 9.789 and 9.789 Å, with angles of 90.00, 90.00 and 90.00 degrees. The asymmetric unit holds As at (0.123, 0.123, 0.877) and P at (0.125, 0.125, 0.125).



[8]
Density functional theory data (PBE) for AsP after structural relaxation.

The calculation puts the total magnetization at 0.00 μB/f.u. Its total energy is -4.781 eV/atom. Its formation energy is 249 meV/atom. As for the energy above the most stable polymorph in this dataset: 195.8 meV per atom. As for the volume: 159.4 Å³/cell.

The space group is Cmcm (No. 63) and the conventional cell measures 3.723, 11.324 and 3.780 Å, with angles of 90.00, 90.00 and 90.00 degrees. The asymmetric unit holds As at (0.000, 0.133, 0.250) and P at (0.000, 0.339, 0.250).



[9]
Density functional theory data (PBE) for AsP after structural relaxation.

The calculation puts the total magnetization at 0.00 μB/f.u. Its total energy is -4.734 eV/atom. Its formation energy is 296 meV/atom. As for the energy above the most stable polymorph in this dataset: 242.9 meV per atom. As for the volume: 184.7 Å³/cell.

The space group is Imma (No. 74) and the conventional cell measures 3.060, 3.661 and 16.485 Å, with angles of 90.00, 90.00 and 90.00 degrees. The asymmetric unit holds As at (0.000, 0.250, 0.051) and P at (0.000, 0.250, 0.706).



[10]
Density functional theory data (PBE) for AsP3 after structural relaxation.

The calculation puts the total magnetization at 0.00 μB/f.u. Its total energy is -5.032 eV/atom. Its formation energy is 188 meV/atom. As for the energy above the most stable polymorph in this dataset: 127.9 meV per atom. As for the volume: 66.6 Å³/cell.

The space group is P2/m (No. 10) and the conventional cell measures 4.361, 3.591 and 4.470 Å, with angles of 90.00, 107.97 and 90.00 degrees. The asymmetric unit holds As at (0.000, 0.000, 0.000), P at (0.230, 0.500, 0.708) and P at (0.500, 0.000, 0.500).



[11]
Density functional theory data (PBE) for AsP3 after structural relaxation.

The calculation puts the total magnetization at 0.00 μB/f.u. Its total energy is -5.159 eV/atom. Its formation energy is 60 meV/atom. As for the energy above the most stable polymorph in this dataset: 0.0 meV per atom. As for the volume: 216.9 Å³/cell.

The space group is Cm (No. 8) and the conventional cell measures 12.494, 3.365 and 5.830 Å, with angles of 90.00, 117.79 and 90.00 degrees. The asymmetric unit holds As at (0.000, 0.000, 0.000), P at (0.377, 0.000, 0.707), P at (0.378, 0.500, 0.218) and P at (0.487, 0.000, 0.490).



[12]
Density functional theory data (PBE) for AsP3 after structural relaxation.

The calculation puts the total magnetization at 0.00 μB/f.u. Its total energy is -4.916 eV/atom. Its formation energy is 304 meV/atom. As for the energy above the most stable polymorph in this dataset: 243.9 meV per atom. As for the volume: 144.9 Å³/cell.

The space group is Pmmn (No. 59, origin choice 2) and the conventional cell measures 4.899, 5.021 and 5.893 Å, with angles of 90.00, 90.00 and 90.00 degrees. The asymmetric unit holds As at (0.250, 0.250, 0.110), P at (0.025, 0.750, 0.508) and P at (0.250, 0.750, 0.149).



[13]
Density functional theory data (PBE) for AsP3 after structural relaxation.

The calculation puts the total magnetization at 0.00 μB/f.u. Its total energy is -5.027 eV/atom. Its formation energy is 193 meV/atom. As for the energy above the most stable polymorph in this dataset: 132.4 meV per atom. As for the volume: 193.2 Å³/cell.

The space group is R-3m (No. 166, hexagonal axes) and the conventional cell measures 3.5983, 3.5983 and 17.2339 Å, with angles of 90.00, 90.00 and 120.00 degrees. The asymmetric unit holds As at (0.0000, 0.0000, 0.0000), P at (0.0000, 0.0000, 0.2447) and P at (0.0000, 0.0000, 0.5000).



[14]
Density functional theory data (PBE) for AsP after structural relaxation.

The calculation puts the total magnetization at 0.00 μB/f.u. Its total energy is -4.777 eV/atom. Its formation energy is 252 meV/atom. As for the energy above the most stable polymorph in this dataset: 199.2 meV per atom. As for the volume: 295.6 Å³/cell.

The space group is P6_3/m (No. 176) and the conventional cell measures 7.9926, 7.9926 and 5.3422 Å, with angles of 90.00, 90.00 and 120.00 degrees. The asymmetric unit holds As at (0.0380, 0.6731, 0.2500) and P at (0.0384, 0.3775, 0.2500).



[15]
Density functional theory data (PBE) for AsP after structural relaxation.

The calculation puts the total magnetization at 0.00 μB/f.u. Its total energy is -4.805 eV/atom. Its formation energy is 225 meV/atom. As for the energy above the most stable polymorph in this dataset: 171.5 meV per atom. As for the volume: 569.8 Å³/cell.

The space group is I4/m (No. 87) and the conventional cell measures 12.813, 12.813 and 3.470 Å, with angles of 90.00, 90.00 and 90.00 degrees. The asymmetric unit holds As at (0.065, 0.305, 0.000) and P at (0.120, 0.661, 0.000).



[16]
Density functional theory data (PBE) for AsP after structural relaxation.

The calculation puts the total magnetization at 0.00 μB/f.u. Its total energy is -4.638 eV/atom. Its formation energy is 392 meV/atom. As for the energy above the most stable polymorph in this dataset: 338.9 meV per atom. As for the volume: 72.1 Å³/cell.

The space group is Pmmn (No. 59, origin choice 2) and the conventional cell measures 3.409, 3.482 and 6.072 Å, with angles of 90.00, 90.00 and 90.00 degrees. The asymmetric unit holds As at (0.250, 0.250, 0.101) and P at (0.250, 0.750, 0.561).



[17]
Density functional theory data (PBE) for AsP3 after structural relaxation.

The calculation puts the total magnetization at 0.00 μB/f.u. Its total energy is -5.156 eV/atom. Its formation energy is 64 meV/atom. As for the energy above the most stable polymorph in this dataset: 3.4 meV per atom. As for the volume: 175.9 Å³/cell.

The space group is Cm (No. 8) and the conventional cell measures 11.254, 3.405 and 4.592 Å, with angles of 90.00, 91.77 and 90.00 degrees. The asymmetric unit holds As at (0.000, 0.000, 0.000), P at (0.012, 0.500, 0.648), P at (0.201, 0.500, 0.515) and P at (0.202, 0.000, 0.193).



[18]
Density functional theory data (PBE) for AsP after structural relaxation.

The calculation puts the total magnetization at 0.00 μB/f.u. Its total energy is -4.765 eV/atom. Its formation energy is 265 meV/atom. As for the energy above the most stable polymorph in this dataset: 212.1 meV per atom. As for the volume: 301.0 Å³/cell.

The space group is Cm (No. 8) and the conventional cell measures 15.301, 3.225 and 6.600 Å, with angles of 90.00, 112.44 and 90.00 degrees. The asymmetric unit holds As at (0.000, 0.000, 0.000), As at (0.121, 0.000, 0.837), As at (0.258, 0.000, 0.196), P at (0.189, 0.500, 0.347), P at (0.296, 0.500, 0.702) and P at (0.400, 0.000, 0.689).



[19]
Density functional theory data (PBE) for AsP after structural relaxation.

The calculation puts the total magnetization at 0.00 μB/f.u. Its total energy is -4.750 eV/atom. Its formation energy is 280 meV/atom. As for the energy above the most stable polymorph in this dataset: 226.7 meV per atom. As for the volume: 93.9 Å³/cell.

The space group is P6_3mc (No. 186) and the conventional cell measures 4.4472, 4.4472 and 5.4849 Å, with angles of 90.00, 90.00 and 120.00 degrees. The asymmetric unit holds As at (0.3333, 0.6667, 0.0000) and P at (0.3333, 0.6667, 0.5702).



[20]
Density functional theory data (PBE) for AsP4 after structural relaxation.

The calculation puts the total magnetization at 0.00 μB/f.u. Its total energy is -4.822 eV/atom. Its formation energy is 435 meV/atom. As for the energy above the most stable polymorph in this dataset: 0.0 meV per atom. As for the volume: 164.1 Å³/cell.

The space group is I4/mmm (No. 139) and the conventional cell measures 4.619, 4.619 and 7.691 Å, with angles of 90.00, 90.00 and 90.00 degrees. The asymmetric unit holds As at (0.000, 0.000, 0.000), P at (0.000, 0.000, 0.341) and P at (0.000, 0.500, 0.250).